First-principles (GGA-PBEsol) data for an optimized crystal structure of TaGa3C, as listed in Alexandria via LeMat-Bulk.

**Symmetry**: No. 221
**Total magnetization**: 0.4 μB per formula unit
**Energy relative to the elements**: 2.034 eV/atom

Structure (extended XYZ):
```
5
Lattice="4.988 0.000 0.000 0.000 4.988 0.000 0.000 0.000 4.988" Properties=species:S:1:pos:R:3 pbc="T T T"
Ta 0.000 0.000 0.000
Ga 0.000 0.000 2.494
Ga 0.000 2.494 0.000
Ga 2.494 0.000 0.000
C 2.494 2.494 2.494
```

First-principles (GGA-PBEsol) data for an optimized crystal structure of ZnCd2BRu, as listed in Alexandria via LeMat-Bulk.

**Symmetry**: No. 123
**Total magnetization**: 0.0 μB per formula unit
**Energy relative to the elements**: 1.599 eV/atom

Structure (extended XYZ):
```
5
Lattice="5.048 0.000 0.000 0.000 5.048 0.000 0.000 0.000 4.659" Properties=species:S:1:pos:R:3 pbc="T T T"
Zn 0.000 0.000 0.000
Cd 0.000 2.524 2.329
Cd 2.524 0.000 2.329
B 2.524 2.524 0.000
Ru 0.000 0.000 2.329
```

First-principles (GGA-PBEsol) data for an optimized crystal structure of CsTe2BrN, as listed in Alexandria via LeMat-Bulk.

**Symmetry**: No. 123
**Total magnetization**: 0.0 μB per formula unit
**Energy relative to the elements, uncorrected**: 371 kJ/mol of formula units

Structure (extended XYZ):
```
5
Lattice="6.708 0.000 0.000 0.000 6.708 0.000 0.000 0.000 3.588" Properties=species:S:1:pos:R:3 pbc="T T T"
Cs 0.000 0.000 0.000
Te 0.000 3.354 1.794
Te 3.354 0.000 1.794
Br 3.354 3.354 1.794
N 3.354 3.354 0.000
```

First-principles (GGA-PBEsol) data for an optimized crystal structure of InBCSe2, as listed in Alexandria via LeMat-Bulk.

**Symmetry**: No. 123
**Total magnetization**: 0.0 μB per formula unit
**Energy relative to the elements, uncorrected**: 760 kJ/mol of formula units

Structure (extended XYZ):
```
5
Lattice="4.456 0.000 0.000 0.000 4.456 0.000 0.000 0.000 4.353" Properties=species:S:1:pos:R:3 pbc="T T T"
In 0.000 0.000 0.000
B 2.228 2.228 0.000
C 0.000 0.000 2.177
Se 0.000 2.228 2.177
Se 2.228 0.000 2.177
```

First-principles (GGA-PBEsol) data for an optimized crystal structure of RbInI2, as listed in Alexandria via LeMat-Bulk.

**Symmetry**: No. 225
**Total magnetization**: 0.0 μB per formula unit
**Energy relative to the elements, uncorrected**: -346 kJ/mol of formula units

Structure (extended XYZ):
```
4
Lattice="0.000 4.207 4.207 4.207 0.000 4.207 4.207 4.207 0.000" Properties=species:S:1:pos:R:3 pbc="T T T"
Rb 0.000 0.000 0.000
In 4.207 4.207 4.207
I 2.104 2.104 2.104
I 6.311 6.311 6.311
```

First-principles (GGA-PBEsol) data for an optimized crystal structure of Mg2Co2Si, as listed in Alexandria via LeMat-Bulk.

**Symmetry**: No. 127
**Total magnetization**: 0.0 μB per formula unit
**Energy relative to the elements, uncorrected**: -120 kJ/mol of formula units

Structure (extended XYZ):
```
10
Lattice="5.752 0.000 0.000 0.000 5.752 0.000 0.000 0.000 4.207" Properties=species:S:1:pos:R:3 pbc="T T T"
Mg 0.983 1.893 0.000
Mg 1.893 4.769 0.000
Mg 3.859 0.983 0.000
Mg 4.769 3.859 0.000
Co 0.801 3.677 2.103
Co 2.075 0.801 2.103
Co 3.677 4.950 2.103
Co 4.950 2.075 2.103
Si 0.000 0.000 2.103
Si 2.876 2.876 2.103
```

First-principles (GGA-PBEsol) data for an optimized crystal structure of CsTlPtS2, as listed in Alexandria via LeMat-Bulk.

**Symmetry**: No. 123
**Total magnetization**: 0.8 μB per formula unit
**Energy relative to the elements, uncorrected**: 793 kJ/mol of formula units

Structure (extended XYZ):
```
5
Lattice="5.397 0.000 0.000 0.000 5.397 0.000 0.000 0.000 6.226" Properties=species:S:1:pos:R:3 pbc="T T T"
Cs 0.000 0.000 0.000
Tl 0.000 0.000 3.113
Pt 2.698 2.698 3.113
S 0.000 2.698 0.000
S 2.698 0.000 0.000
```

First-principles (GGA-PBEsol) data for an optimized crystal structure of YWSe2, as listed in Alexandria via LeMat-Bulk.

**Symmetry**: No. 225
**Total magnetization**: 0.7 μB per formula unit
**Energy relative to the elements, uncorrected**: -174 kJ/mol of formula units

Structure (extended XYZ):
```
4
Lattice="0.000 3.300 3.300 3.300 0.000 3.300 3.300 3.300 0.000" Properties=species:S:1:pos:R:3 pbc="T T T"
Y 0.000 0.000 0.000
W 3.300 3.300 3.300
Se 1.650 1.650 1.650
Se 4.950 4.950 4.950
```

First-principles (GGA-PBEsol) data for an optimized crystal structure of CaCr3Ag, as listed in Alexandria via LeMat-Bulk.

**Symmetry**: No. 221
**Total magnetization**: 13.3 μB per formula unit
**Energy relative to the elements**: 1.378 eV/atom

Structure (extended XYZ):
```
5
Lattice="4.983 0.000 0.000 0.000 4.983 0.000 0.000 0.000 4.983" Properties=species:S:1:pos:R:3 pbc="T T T"
Ca 0.000 0.000 0.000
Cr 0.000 2.492 2.492
Cr 2.492 0.000 2.492
Cr 2.492 2.492 0.000
Ag 2.492 2.492 2.492
```

First-principles (GGA-PBEsol) data for an optimized crystal structure of PrPd, as listed in Alexandria via LeMat-Bulk.

**Symmetry**: No. 63
**Total magnetization**: 0.0 μB per formula unit
**Energy relative to the elements**: -0.745 eV/atom

Structure (extended XYZ):
```
4
Lattice="1.929 -5.388 0.000 1.929 5.388 0.000 0.000 0.000 4.594" Properties=species:S:1:pos:R:3 pbc="T T T"
Pr 1.929 3.910 3.445
Pr 1.929 -3.910 1.148
Pd 1.929 0.908 3.445
Pd 1.929 -0.908 1.148
```

First-principles (GGA-PBEsol) data for an optimized crystal structure of Ba2TlTcBi, as listed in Alexandria via LeMat-Bulk.

**Symmetry**: No. 123
**Total magnetization**: 3.4 μB per formula unit
**Energy relative to the elements**: 1.049 eV/atom

Structure (extended XYZ):
```
5
Lattice="6.586 0.000 0.000 0.000 6.586 0.000 0.000 0.000 5.712" Properties=species:S:1:pos:R:3 pbc="T T T"
Ba 0.000 3.293 0.000
Ba 3.293 0.000 0.000
Tl 0.000 0.000 2.856
Tc 3.293 3.293 2.856
Bi 0.000 0.000 0.000
```

First-principles (GGA-PBEsol) data for an optimized crystal structure of SiAuSe2Br, as listed in Alexandria via LeMat-Bulk.

**Symmetry**: No. 123
**Total magnetization**: 0.0 μB per formula unit
**Energy relative to the elements, uncorrected**: 315 kJ/mol of formula units

Structure (extended XYZ):
```
5
Lattice="5.032 0.000 0.000 0.000 5.032 0.000 0.000 0.000 4.974" Properties=species:S:1:pos:R:3 pbc="T T T"
Si 0.000 0.000 0.000
Au 2.516 2.516 2.487
Se 0.000 2.516 2.487
Se 2.516 0.000 2.487
Br 2.516 2.516 0.000
```

First-principles (GGA-PBEsol) data for an optimized crystal structure of ReW4, as listed in Alexandria via LeMat-Bulk.

**Symmetry**: No. 87
**Total magnetization**: 0.0 μB per formula unit
**Energy relative to the elements**: 0.040 eV/atom

Structure (extended XYZ):
```
5
Lattice="-3.511 3.511 1.568 3.511 -3.511 1.568 3.511 3.511 -1.568" Properties=species:S:1:pos:R:3 pbc="T T T"
Re 0.000 0.000 0.000
W 2.794 1.400 0.000
W 2.111 -0.717 1.568
W 1.400 4.228 0.000
W 0.717 2.111 1.568
```

First-principles (GGA-PBEsol) data for an optimized crystal structure of CoNi4, as listed in Alexandria via LeMat-Bulk.

**Symmetry**: No. 87
**Total magnetization**: 4.1 μB per formula unit
**Energy relative to the elements**: -0.003 eV/atom

Structure (extended XYZ):
```
5
Lattice="-2.737 2.737 1.726 2.737 -2.737 1.726 2.737 2.737 -1.726" Properties=species:S:1:pos:R:3 pbc="T T T"
Co 0.000 0.000 0.000
Ni 3.292 1.100 0.000
Ni 1.100 2.183 0.000
Ni 1.638 0.554 1.726
Ni -0.554 1.638 1.726
```

First-principles (GGA-PBEsol) data for an optimized crystal structure of PIr2Pb, as listed in Alexandria via LeMat-Bulk.

**Symmetry**: No. 10
**Total magnetization**: 0.0 μB per formula unit
**Energy relative to the elements**: 0.227 eV/atom

Structure (extended XYZ):
```
4
Lattice="4.503 0.000 0.000 0.000 3.602 0.000 -1.141 0.000 4.396" Properties=species:S:1:pos:R:3 pbc="T T T"
P 0.000 0.000 0.000
Ir -0.043 1.801 3.537
Ir 3.404 1.801 0.859
Pb 1.681 0.000 2.198
```

First-principles (GGA-PBEsol) data for an optimized crystal structure of AlBRu2F, as listed in Alexandria via LeMat-Bulk.

**Symmetry**: No. 123
**Total magnetization**: 1.6 μB per formula unit
**Energy relative to the elements, uncorrected**: 96 kJ/mol of formula units

Structure (extended XYZ):
```
5
Lattice="4.235 0.000 0.000 0.000 4.235 0.000 0.000 0.000 3.407" Properties=species:S:1:pos:R:3 pbc="T T T"
Al 0.000 0.000 0.000
B 2.118 2.118 1.703
Ru 0.000 2.118 1.703
Ru 2.118 0.000 1.703
F 2.118 2.118 0.000
```

First-principles (GGA-PBEsol) data for an optimized crystal structure of YAs, as listed in Alexandria via LeMat-Bulk.

**Symmetry**: No. 141
**Total magnetization**: 0.0 μB per formula unit
**Energy relative to the elements**: -1.121 eV/atom

Structure (extended XYZ):
```
4
Lattice="-2.028 2.028 5.441 2.028 -2.028 5.441 2.028 2.028 -5.441" Properties=species:S:1:pos:R:3 pbc="T T T"
Y 2.028 1.014 1.360
Y 0.000 1.014 4.081
As 2.028 -1.014 4.081
As 0.000 3.042 1.360
```

First-principles (GGA-PBEsol) data for an optimized crystal structure of BeTcAs, as listed in Alexandria via LeMat-Bulk.

**Symmetry**: No. 107
**Total magnetization**: 0.0 μB per formula unit
**Energy relative to the elements**: -0.327 eV/atom

Structure (extended XYZ):
```
3
Lattice="-1.539 1.539 3.844 1.539 -1.539 3.844 1.539 1.539 -3.844" Properties=species:S:1:pos:R:3 pbc="T T T"
Be 0.000 0.000 0.000
Tc 0.000 0.000 5.094
As 0.000 0.000 2.538
```

First-principles (GGA-PBEsol) data for an optimized crystal structure of LaP2Ru, as listed in Alexandria via LeMat-Bulk.

**Symmetry**: No. 123
**Total magnetization**: 0.0 μB per formula unit
**Energy relative to the elements**: -0.476 eV/atom

Structure (extended XYZ):
```
4
Lattice="3.116 0.000 0.000 0.000 3.116 0.000 0.000 0.000 6.830" Properties=species:S:1:pos:R:3 pbc="T T T"
La 0.000 0.000 0.000
P 1.558 1.558 2.103
P 1.558 1.558 4.727
Ru 0.000 0.000 3.415
```

First-principles (GGA-PBEsol) data for an optimized crystal structure of Cr4RuW, as listed in Alexandria via LeMat-Bulk.

**Symmetry**: No. 216
**Total magnetization**: 0.0 μB per formula unit
**Energy relative to the elements**: 0.074 eV/atom

Structure (extended XYZ):
```
6
Lattice="0.000 3.329 3.329 3.329 0.000 3.329 3.329 3.329 0.000" Properties=species:S:1:pos:R:3 pbc="T T T"
Cr 0.822 0.822 0.822
Cr 2.507 2.507 0.822
Cr 2.507 0.822 2.507
Cr 0.822 2.507 2.507
Ru 3.329 3.329 3.329
W 4.994 4.994 4.994
```